# 1
Computed, not measured: a relaxed Pr3ZnPt3 crystal at the PBE-GGA level of DFT.

Values from the calculation:
* uncorrected energy: -162.273 eV for the cell shown
* total magnetization: 0.0 μB per cell

a b c (Å): 11.216 4.177 15.001
angles (deg): 90.00 109.73 90.00
Space group C2/m (No. 12)
One atom of each set of equivalent atoms:
Pr 0.026 0.000 0.385 x4
Pr 0.105 0.000 0.923 x4
Pr 0.237 0.000 0.228 x4
Zn 0.233 0.500 0.399 x4
Pt 0.024 0.500 0.235 x4
Pt 0.124 0.500 0.077 x4
Pt 0.133 0.500 0.548 x4

---

# 2
Computed, not measured: a relaxed Pr3Zn2Pt6 crystal at the PBE-GGA level of DFT.

Values from the calculation:
* uncorrected energy: -252.618 eV for the cell shown
* total magnetization: 0.0 μB per cell

a b c (Å): 9.692 9.692 9.692
angles (deg): 90.00 90.00 90.00
Space group Im-3m (No. 229)
One atom of each set of equivalent atoms:
Pr 0.000 0.000 0.301 x12
Zn 0.250 0.250 0.250 x8
Pt 0.000 0.326 0.326 x24

---

# 3
Computed, not measured: a relaxed Pr12Zn5Pt3 crystal at the PBE-GGA level of DFT.

Values from the calculation:
* uncorrected energy: -664.919 eV for the cell shown
* total magnetization: 0.0 μB per cell

a b c (Å): 17.345 17.345 17.345
angles (deg): 90.00 90.00 90.00
Space group Ia-3d (No. 230)
One atom of each set of equivalent atoms:
Pr 0.019 0.078 0.651 x96
Zn 0.000 0.000 0.000 x16
Zn 0.000 0.250 0.375 x24
Pt 0.000 0.250 0.125 x24

---

# 4
Computed, not measured: a relaxed PrZn2Pt3 crystal at the PBE-GGA level of DFT.

Values from the calculation:
* uncorrected energy: -118.431 eV for the cell shown
* total magnetization: 0.0 μB per cell

a b c (Å): 9.966 8.173 5.548
angles (deg): 90.00 90.00 90.00
Space group Cmcm (No. 63)
One atom of each set of equivalent atoms:
Pr 0.000 0.166 0.250 x4
Zn 0.219 0.500 0.000 x8
Pt 0.000 0.480 0.750 x4
Pt 0.145 0.201 0.750 x8

---

# 5
Computed, not measured: a relaxed PrZn4Pt8 crystal at the PBE-GGA level of DFT.

Values from the calculation:
* uncorrected energy: -131.012 eV for the cell shown
* total magnetization: 0.0 μB per cell

a b c (Å): 8.925 8.925 5.337
angles (deg): 90.00 90.00 90.00
Space group I4/mmm (No. 139)
One atom of each set of equivalent atoms:
Pr 0.000 0.000 0.000 x2
Zn 0.250 0.250 0.250 x8
Pt 0.000 0.225 0.500 x8
Pt 0.000 0.344 0.000 x8

---

# 6
Computed, not measured: a relaxed PrZn2Pt6 crystal at the PBE-GGA level of DFT.

Values from the calculation:
* uncorrected energy: -365.247 eV for the cell shown
* total magnetization: 0.0 μB per cell

a b c (Å): 11.367 11.367 11.367
angles (deg): 90.00 90.00 90.00
Space group Fd-3m (No. 227, origin choice 2)
One atom of each set of equivalent atoms:
Pr 0.125 0.125 0.125 x8
Zn 0.000 0.000 0.500 x16
Pt 0.122 0.375 0.375 x48

---

# 7
Computed, not measured: a relaxed Pr3Zn6Pt5 crystal at the PBE-GGA level of DFT.

Values from the calculation:
* uncorrected energy: -125.901 eV for the cell shown
* total magnetization: 0.0 μB per cell

a b c (Å): 4.341 12.930 9.561
angles (deg): 90.00 90.00 90.00
Space group Pmmn (No. 59, origin choice 2)
One atom of each set of equivalent atoms:
Pr 0.250 0.058 0.249 x4
Pr 0.250 0.750 0.241 x2
Zn 0.250 0.068 0.912 x4
Zn 0.250 0.250 0.051 x2
Zn 0.250 0.250 0.467 x2
Zn 0.250 0.601 0.518 x4
Pt 0.250 0.091 0.635 x4
Pt 0.250 0.636 0.959 x4
Pt 0.250 0.750 0.705 x2

---

# 8
Computed, not measured: a relaxed Pr3Zn2Pt7 crystal at the PBE-GGA level of DFT.

Values from the calculation:
* uncorrected energy: -211.044 eV for the cell shown
* total magnetization: 0.0 μB per cell

a b c (Å): 5.5608 5.5608 25.7732
angles (deg): 90.00 90.00 120.00
Space group R-3m (No. 166, hexagonal axes)
One atom of each set of equivalent atoms:
Pr 0.0000 0.0000 0.0000 x3
Pr 0.0000 0.0000 0.1395 x6
Zn 0.0000 0.0000 0.3334 x6
Pt 0.0000 0.0000 0.5000 x3
Pt 0.0019 0.5009 0.9199 x18

---

# 9
Computed, not measured: a relaxed Pr4Zn2Pt crystal at the PBE-GGA level of DFT.

Values from the calculation:
* uncorrected energy: -90.810 eV for the cell shown
* total magnetization: 0.0 μB per cell

a b c (Å): 5.1853 5.1853 25.3073
angles (deg): 90.00 90.00 120.00
Space group R-3m (No. 166, hexagonal axes)
One atom of each set of equivalent atoms:
Pr 0.0000 0.0000 0.1233 x6
Pr 0.0000 0.0000 0.3742 x6
Zn 0.0000 0.0000 0.2456 x6
Pt 0.0000 0.0000 0.0000 x3

---

# 10
Computed, not measured: a relaxed PrZn4Pt4 crystal at the PBE-GGA level of DFT.

Values from the calculation:
* uncorrected energy: -78.528 eV for the cell shown
* total magnetization: 0.0 μB per cell

a b c (Å): 5.869 5.869 9.080
angles (deg): 90.00 90.00 90.00
Space group P4_2/nmc (No. 137, origin choice 2)
One atom of each set of equivalent atoms:
Pr 0.250 0.750 0.250 x2
Zn 0.030 0.250 0.168 x8
Pt 0.020 0.250 0.458 x8

---

# 11
Computed, not measured: a relaxed Pr7Zn2Pt2 crystal at the PBE-GGA level of DFT.

Values from the calculation:
* uncorrected energy: -104.409 eV for the cell shown
* total magnetization: 0.0 μB per cell

a b c (Å): 8.137 11.296 7.371
angles (deg): 90.00 90.00 90.00
Space group Cmmm (No. 65)
One atom of each set of equivalent atoms:
Pr 0.000 0.000 0.000 x2
Pr 0.000 0.500 0.260 x4
Pr 0.250 0.250 0.266 x8
Zn 0.161 0.000 0.500 x4
Pt 0.000 0.291 0.000 x4

---

# 12
Computed, not measured: a relaxed Pr3Zn2Pt crystal at the PBE-GGA level of DFT.

Values from the calculation:
* uncorrected energy: -26.160 eV for the cell shown
* total magnetization: 0.0 μB per cell

a b c (Å): 5.1879 5.1879 6.4474
angles (deg): 90.00 90.00 120.00
Space group P-3m1 (No. 164)
One atom of each set of equivalent atoms:
Pr 0.0000 0.0000 0.0000 x1
Pr 0.3333 0.6667 0.6511 x2
Zn 0.3333 0.6667 0.1399 x2
Pt 0.0000 0.0000 0.5000 x1

---

Question: What is the formula in the seventh record?
Answer: Pr3Zn6Pt5